{
  "formula": "BeCrNi2",
  "functional": "PBE",
  "state": "optimized geometry",
  "lattice": [[-3.7619, 2.0858, -0.5893], [-3.0407, -2.6305, -1.6383], [2.7093, -0.3366, 3.3758]],
  "species": ["Be", "Cr", "Ni", "Ni"],
  "frac_coords": [[0.5000, 0.5000, 0.0000], [0.7500, 0.2500, 0.5000], [0.0000, 0.0000, 0.0000], [0.2500, 0.7500, 0.5000]],
  "energy_ev_per_atom": -6.250,
  "ef_mev_per_atom": -22,
  "space_group": "I-4m2 (119)",
  "dos_at_fermi_per_ev_atom": 1.069,
  "crystal_system": "tetragonal",
  "total_magnetization_mub_per_fu": 2.62
}